Compound: Pr2HoZn3
Source: the Alexandria database
Functional: PBE
Structure: relaxed

Cell and atoms, written as CIF:
```
data_Pr2HoZn3
_cell_length_a 3.6431
_cell_length_b 3.6431
_cell_length_c 11.0817
_cell_angle_alpha 90.00
_cell_angle_beta 90.00
_cell_angle_gamma 90.00
_symmetry_space_group_name_H-M 'P 1'
_symmetry_Int_Tables_number 1
loop_
_symmetry_equiv_pos_as_xyz
'x,y,z'
loop_
_atom_site_label
_atom_site_fract_x
_atom_site_fract_y
_atom_site_fract_z
Pr1 0.5000 0.5000 0.8276
Pr2 0.5000 0.5000 0.1724
Ho1 0.5000 0.5000 0.5000
Zn1 0.0000 0.0000 0.0000
Zn2 0.0000 0.0000 0.6500
Zn3 0.0000 0.0000 0.3500
```

Compound: Pr2Ho6Zr
Source: the Alexandria database
Functional: PBE
Structure: relaxed

Cell and atoms, written as CIF:
```
data_Pr2Ho6Zr
_cell_length_a 3.3860
_cell_length_b 9.7475
_cell_length_c 10.1340
_cell_angle_alpha 118.75
_cell_angle_beta 99.34
_cell_angle_gamma 90.00
_symmetry_space_group_name_H-M 'P 1'
_symmetry_Int_Tables_number 1
loop_
_symmetry_equiv_pos_as_xyz
'x,y,z'
loop_
_atom_site_label
_atom_site_fract_x
_atom_site_fract_y
_atom_site_fract_z
Pr1 0.3362 0.3354 0.6709
Pr2 0.6638 0.6646 0.3291
Ho1 0.8381 0.0153 0.6741
Ho2 0.1619 0.3412 0.3259
Ho3 0.1619 0.9847 0.3259
Ho4 0.5000 0.2938 0.0000
Ho5 0.8381 0.6588 0.6741
Ho6 0.5000 0.7062 0.0000
Zr1 0.0000 0.0000 0.0000
```

Compound: Pr14HoZr
Source: the Alexandria database
Functional: PBE
Structure: relaxed

Cell and atoms, written as CIF:
```
data_Pr14HoZr
_cell_length_a 7.3272
_cell_length_b 7.3272
_cell_length_c 10.3862
_cell_angle_alpha 90.00
_cell_angle_beta 90.00
_cell_angle_gamma 90.00
_symmetry_space_group_name_H-M 'P 1'
_symmetry_Int_Tables_number 1
loop_
_symmetry_equiv_pos_as_xyz
'x,y,z'
loop_
_atom_site_label
_atom_site_fract_x
_atom_site_fract_y
_atom_site_fract_z
Pr1 0.3751 0.6249 0.5000
Pr2 0.8748 0.1252 0.5000
Pr3 0.8750 0.6250 0.0000
Pr4 0.8751 0.6252 0.5000
Pr5 0.3750 0.1250 0.0000
Pr6 0.3748 0.1249 0.5000
Pr7 0.6300 0.8800 0.7582
Pr8 0.6300 0.8800 0.2418
Pr9 0.1200 0.3700 0.7582
Pr10 0.1200 0.3700 0.2418
Pr11 0.1199 0.8801 0.7583
Pr12 0.1199 0.8801 0.2417
Pr13 0.6300 0.3700 0.7583
Pr14 0.6300 0.3700 0.2417
Ho1 0.3751 0.6249 0.0000
Zr1 0.8751 0.1249 0.0000
```

Compound: Pr12Ho7Zr
Source: the Alexandria database
Functional: PBE
Structure: relaxed

Cell and atoms, written as CIF:
```
data_Pr12Ho7Zr
_cell_length_a 6.2442
_cell_length_b 11.5386
_cell_length_c 11.5386
_cell_angle_alpha 116.82
_cell_angle_beta 100.39
_cell_angle_gamma 100.39
_symmetry_space_group_name_H-M 'P 1'
_symmetry_Int_Tables_number 1
loop_
_symmetry_equiv_pos_as_xyz
'x,y,z'
loop_
_atom_site_label
_atom_site_fract_x
_atom_site_fract_y
_atom_site_fract_z
Pr1 0.0885 0.5878 0.1763
Pr2 0.0878 0.1763 0.5885
Pr3 0.5715 0.6479 0.0006
Pr4 0.4291 0.0006 0.3527
Pr5 0.4993 0.4115 0.5878
Pr6 0.0764 0.6473 0.6479
Pr7 0.9236 0.3527 0.3521
Pr8 0.5007 0.5885 0.4122
Pr9 0.5709 0.9994 0.6473
Pr10 0.4285 0.3521 0.9994
Pr11 0.9122 0.8237 0.4115
Pr12 0.9115 0.4122 0.8237
Ho1 0.1146 0.7599 0.0007
Ho2 0.8862 0.0007 0.2409
Ho3 0.6453 0.7591 0.7599
Ho4 0.5000 0.0000 0.0000
Ho5 0.3547 0.2409 0.2401
Ho6 0.1138 0.9993 0.7591
Ho7 0.8854 0.2401 0.9993
Zr1 0.0000 0.0000 0.0000
```

# HoPt4, relaxed, DFT PBE
# energy above the most stable polymorph in this dataset: 1993 meV per atom
data_HoPt4
_cell_length_a 4.9503
_cell_length_b 4.9503
_cell_length_c 4.9503
_cell_angle_alpha 90.00
_cell_angle_beta 90.00
_cell_angle_gamma 90.00
_symmetry_space_group_name_H-M 'P 1'
_symmetry_Int_Tables_number 1
loop_
_symmetry_equiv_pos_as_xyz
'x,y,z'
loop_
_atom_site_label
_atom_site_fract_x
_atom_site_fract_y
_atom_site_fract_z
Ho1 0.5000 0.5000 0.5000
Pt1 0.0000 0.0000 0.0000
Pt2 0.5000 0.0000 0.5000
Pt3 0.0000 0.5000 0.5000
Pt4 0.5000 0.5000 0.0000

# Ho4Pt, relaxed, DFT PBE
# energy above the most stable polymorph in this dataset: 162 meV per atom
data_Ho4Pt
_cell_length_a 5.4455
_cell_length_b 5.4455
_cell_length_c 5.4455
_cell_angle_alpha 90.00
_cell_angle_beta 90.00
_cell_angle_gamma 90.00
_symmetry_space_group_name_H-M 'P 1'
_symmetry_Int_Tables_number 1
loop_
_symmetry_equiv_pos_as_xyz
'x,y,z'
loop_
_atom_site_label
_atom_site_fract_x
_atom_site_fract_y
_atom_site_fract_z
Ho1 0.0000 0.0000 0.0000
Ho2 0.5000 0.0000 0.5000
Ho3 0.0000 0.5000 0.5000
Ho4 0.5000 0.5000 0.0000
Pt1 0.5000 0.5000 0.5000

Compound: Ho3Pt
Source: the Alexandria database
Functional: PBE
Structure: relaxed

Cell and atoms, written as CIF:
```
data_Ho3Pt
_cell_length_a 6.4674
_cell_length_b 7.0088
_cell_length_c 9.5312
_cell_angle_alpha 90.00
_cell_angle_beta 90.00
_cell_angle_gamma 90.00
_symmetry_space_group_name_H-M 'P 1'
_symmetry_Int_Tables_number 1
loop_
_symmetry_equiv_pos_as_xyz
'x,y,z'
loop_
_atom_site_label
_atom_site_fract_x
_atom_site_fract_y
_atom_site_fract_z
Ho1 0.3208 0.6807 0.0606
Ho2 0.1792 0.1807 0.4394
Ho3 0.6792 0.3193 0.5606
Ho4 0.8208 0.8193 0.9394
Ho5 0.6792 0.3193 0.9394
Ho6 0.8208 0.8193 0.5606
Ho7 0.3208 0.6807 0.4394
Ho8 0.1792 0.1807 0.0606
Ho9 0.8696 0.5258 0.2500
Ho10 0.6304 0.0258 0.2500
Ho11 0.1304 0.4742 0.7500
Ho12 0.3696 0.9742 0.7500
Pt1 0.0496 0.8890 0.2500
Pt2 0.4504 0.3890 0.2500
Pt3 0.9504 0.1110 0.7500
Pt4 0.5496 0.6110 0.7500
```

Compound: Ho6Pt23
Source: the Alexandria database
Functional: PBE
Structure: relaxed

Cell and atoms, written as CIF:
```
data_Ho6Pt23
_cell_length_a 9.1021
_cell_length_b 9.1021
_cell_length_c 9.1021
_cell_angle_alpha 60.00
_cell_angle_beta 60.00
_cell_angle_gamma 60.00
_symmetry_space_group_name_H-M 'P 1'
_symmetry_Int_Tables_number 1
loop_
_symmetry_equiv_pos_as_xyz
'x,y,z'
loop_
_atom_site_label
_atom_site_fract_x
_atom_site_fract_y
_atom_site_fract_z
Ho1 0.2203 0.7797 0.7797
Ho2 0.7797 0.2203 0.2203
Ho3 0.2203 0.2203 0.7797
Ho4 0.7797 0.7797 0.2203
Ho5 0.2203 0.7797 0.2203
Ho6 0.7797 0.2203 0.7797
Pt1 0.5000 0.5000 0.5000
Pt2 0.5000 0.0000 0.0000
Pt3 0.0000 0.5000 0.5000
Pt4 0.5000 0.5000 0.0000
Pt5 0.0000 0.0000 0.5000
Pt6 0.5000 0.0000 0.5000
Pt7 0.0000 0.5000 0.0000
Pt8 0.1375 0.6208 0.6208
Pt9 0.6208 0.6208 0.1375
Pt10 0.6208 0.1375 0.6208
Pt11 0.6208 0.6208 0.6208
Pt12 0.3792 0.3792 0.8625
Pt13 0.8625 0.3792 0.3792
Pt14 0.3792 0.8625 0.3792
Pt15 0.3792 0.3792 0.3792
Pt16 0.4967 0.8344 0.8344
Pt17 0.8344 0.8344 0.4967
Pt18 0.8344 0.4967 0.8344
Pt19 0.8344 0.8344 0.8344
Pt20 0.1656 0.1656 0.5033
Pt21 0.5033 0.1656 0.1656
Pt22 0.1656 0.5033 0.1656
Pt23 0.1656 0.1656 0.1656
```

# HoPt6, relaxed, DFT PBE
# energy above the most stable polymorph in this dataset: 982 meV per atom
data_HoPt6
_cell_length_a 6.0658
_cell_length_b 6.0658
_cell_length_c 6.0658
_cell_angle_alpha 109.47
_cell_angle_beta 109.47
_cell_angle_gamma 109.47
_symmetry_space_group_name_H-M 'P 1'
_symmetry_Int_Tables_number 1
loop_
_symmetry_equiv_pos_as_xyz
'x,y,z'
loop_
_atom_site_label
_atom_site_fract_x
_atom_site_fract_y
_atom_site_fract_z
Ho1 0.0000 0.0000 0.0000
Pt1 0.2500 0.7500 0.5000
Pt2 0.5000 0.7500 0.2500
Pt3 0.2500 0.5000 0.7500
Pt4 0.7500 0.2500 0.5000
Pt5 0.5000 0.2500 0.7500
Pt6 0.7500 0.5000 0.2500

Compound: Ho3Pt
Source: the Alexandria database
Functional: PBE
Structure: relaxed

Cell and atoms, written as CIF:
```
data_Ho3Pt
_cell_length_a 3.6301
_cell_length_b 3.5762
_cell_length_c 9.0499
_cell_angle_alpha 90.00
_cell_angle_beta 90.00
_cell_angle_gamma 90.00
_symmetry_space_group_name_H-M 'P 1'
_symmetry_Int_Tables_number 1
loop_
_symmetry_equiv_pos_as_xyz
'x,y,z'
loop_
_atom_site_label
_atom_site_fract_x
_atom_site_fract_y
_atom_site_fract_z
Ho1 0.0000 0.5000 0.4702
Ho2 0.5000 0.5000 0.1261
Ho3 0.5000 0.0000 0.7479
Pt1 0.0000 0.0000 0.9891
```

# HoPt6, relaxed, DFT PBE
# energy above the most stable polymorph in this dataset: 0 meV per atom
data_HoPt6
_cell_length_a 5.3560
_cell_length_b 9.5172
_cell_length_c 9.6815
_cell_angle_alpha 90.00
_cell_angle_beta 90.00
_cell_angle_gamma 90.00
_symmetry_space_group_name_H-M 'P 1'
_symmetry_Int_Tables_number 1
loop_
_symmetry_equiv_pos_as_xyz
'x,y,z'
loop_
_atom_site_label
_atom_site_fract_x
_atom_site_fract_y
_atom_site_fract_z
Ho1 0.7500 0.2833 0.9503
Ho2 0.2500 0.7167 0.0497
Ho3 0.7500 0.7833 0.5497
Ho4 0.2500 0.2167 0.4503
Pt1 0.7500 0.5752 0.0135
Pt2 0.2500 0.4248 0.9865
Pt3 0.7500 0.0752 0.4865
Pt4 0.2500 0.9248 0.5135
Pt5 0.0035 0.4594 0.2421
Pt6 0.5035 0.5406 0.7579
Pt7 0.4965 0.9594 0.2579
Pt8 0.9965 0.0406 0.7421
Pt9 0.9965 0.5406 0.7579
Pt10 0.4965 0.4594 0.2421
Pt11 0.5035 0.0406 0.7421
Pt12 0.0035 0.9594 0.2579
Pt13 0.2500 0.2104 0.1649
Pt14 0.7500 0.7896 0.8351
Pt15 0.2500 0.7104 0.3351
Pt16 0.7500 0.2896 0.6649
Pt17 0.2500 0.7910 0.7676
Pt18 0.7500 0.2090 0.2324
Pt19 0.2500 0.2910 0.7324
Pt20 0.7500 0.7090 0.2676
Pt21 0.2500 0.5031 0.5177
Pt22 0.7500 0.4969 0.4823
Pt23 0.2500 0.0031 0.9823
Pt24 0.7500 0.9969 0.0177

# Ho4Pt, relaxed, DFT PBE
# energy above the most stable polymorph in this dataset: 443 meV per atom
data_Ho4Pt
_cell_length_a 7.7005
_cell_length_b 7.7005
_cell_length_c 7.7005
_cell_angle_alpha 60.00
_cell_angle_beta 60.00
_cell_angle_gamma 60.00
_symmetry_space_group_name_H-M 'P 1'
_symmetry_Int_Tables_number 1
loop_
_symmetry_equiv_pos_as_xyz
'x,y,z'
loop_
_atom_site_label
_atom_site_fract_x
_atom_site_fract_y
_atom_site_fract_z
Ho1 0.8601 0.8601 0.8601
Ho2 0.8601 0.4198 0.8601
Ho3 0.8601 0.8601 0.4198
Ho4 0.3899 0.8302 0.3899
Ho5 0.3899 0.3899 0.3899
Ho6 0.4198 0.8601 0.8601
Ho7 0.3899 0.3899 0.8302
Ho8 0.8302 0.3899 0.3899
Pt1 0.2500 0.2500 0.2500
Pt2 0.0000 0.0000 0.0000

Compound: Ho3Pt
Source: the Alexandria database
Functional: PBE
Structure: relaxed

Cell and atoms, written as CIF:
```
data_Ho3Pt
_cell_length_a 6.3338
_cell_length_b 11.5581
_cell_length_c 11.5581
_cell_angle_alpha 90.00
_cell_angle_beta 90.00
_cell_angle_gamma 90.00
_symmetry_space_group_name_H-M 'P 1'
_symmetry_Int_Tables_number 1
loop_
_symmetry_equiv_pos_as_xyz
'x,y,z'
loop_
_atom_site_label
_atom_site_fract_x
_atom_site_fract_y
_atom_site_fract_z
Ho1 0.0418 0.2884 0.8454
Ho2 0.0418 0.7116 0.1546
Ho3 0.5418 0.6546 0.7884
Ho4 0.5418 0.3454 0.2116
Ho5 0.4582 0.2116 0.6546
Ho6 0.4582 0.7884 0.3454
Ho7 0.9582 0.8454 0.7116
Ho8 0.9582 0.1546 0.2884
Ho9 0.5477 0.3675 0.9121
Ho10 0.5477 0.6325 0.0879
Ho11 0.0477 0.5879 0.8675
Ho12 0.0477 0.4121 0.1325
Ho13 0.9523 0.1325 0.5879
Ho14 0.9523 0.8675 0.4121
Ho15 0.4523 0.9121 0.6325
Ho16 0.4523 0.0879 0.3675
Ho17 0.7252 0.0574 0.8648
Ho18 0.7252 0.9426 0.1352
Ho19 0.2252 0.6352 0.5574
Ho20 0.2252 0.3648 0.4426
Ho21 0.7748 0.4426 0.6352
Ho22 0.7748 0.5574 0.3648
Ho23 0.2748 0.8648 0.9426
Ho24 0.2748 0.1352 0.0574
Pt1 0.7666 0.8054 0.9333
Pt2 0.7666 0.1946 0.0667
Pt3 0.2666 0.5667 0.3054
Pt4 0.2666 0.4333 0.6946
Pt5 0.7334 0.6946 0.5667
Pt6 0.7334 0.3054 0.4333
Pt7 0.2334 0.9333 0.1946
Pt8 0.2334 0.0667 0.8054
```

# HoPt4, relaxed, DFT PBE
# energy above the most stable polymorph in this dataset: 0 meV per atom
data_HoPt4
_cell_length_a 4.2858
_cell_length_b 5.7791
_cell_length_c 7.8779
_cell_angle_alpha 111.52
_cell_angle_beta 105.78
_cell_angle_gamma 90.00
_symmetry_space_group_name_H-M 'P 1'
_symmetry_Int_Tables_number 1
loop_
_symmetry_equiv_pos_as_xyz
'x,y,z'
loop_
_atom_site_label
_atom_site_fract_x
_atom_site_fract_y
_atom_site_fract_z
Ho1 0.8931 0.1431 0.7862
Ho2 0.1069 0.8569 0.2138
Pt1 0.1058 0.3558 0.2116
Pt2 0.8942 0.6442 0.7884
Pt3 0.5000 0.0000 0.0000
Pt4 0.5000 0.5000 0.0000
Pt5 0.6942 0.2087 0.3884
Pt6 0.3058 0.7913 0.6116
Pt7 0.3058 0.3203 0.6116
Pt8 0.6942 0.6797 0.3884

Compound: Ho5Pt4
Source: the Alexandria database
Functional: PBE
Structure: relaxed

Cell and atoms, written as CIF:
```
data_Ho5Pt4
_cell_length_a 7.4858
_cell_length_b 7.5818
_cell_length_c 14.5210
_cell_angle_alpha 90.00
_cell_angle_beta 90.00
_cell_angle_gamma 90.00
_symmetry_space_group_name_H-M 'P 1'
_symmetry_Int_Tables_number 1
loop_
_symmetry_equiv_pos_as_xyz
'x,y,z'
loop_
_atom_site_label
_atom_site_fract_x
_atom_site_fract_y
_atom_site_fract_z
Ho1 0.3440 0.8333 0.6226
Ho2 0.8440 0.6667 0.8774
Ho3 0.6560 0.1667 0.1226
Ho4 0.1560 0.3333 0.3774
Ho5 0.6560 0.1667 0.3774
Ho6 0.1560 0.3333 0.1226
Ho7 0.3440 0.8333 0.8774
Ho8 0.8440 0.6667 0.6226
Ho9 0.4987 0.3205 0.5938
Ho10 0.9987 0.1795 0.9062
Ho11 0.5013 0.6795 0.0938
Ho12 0.0013 0.8205 0.4062
Ho13 0.5013 0.6795 0.4062
Ho14 0.0013 0.8205 0.0938
Ho15 0.4987 0.3205 0.9062
Ho16 0.9987 0.1795 0.5938
Ho17 0.1818 0.4886 0.7500
Ho18 0.6818 0.0114 0.7500
Ho19 0.8182 0.5114 0.2500
Ho20 0.3182 0.9886 0.2500
Pt1 0.3155 0.0325 0.4580
Pt2 0.8155 0.4675 0.0420
Pt3 0.6845 0.9675 0.9580
Pt4 0.1845 0.5325 0.5420
Pt5 0.6845 0.9675 0.5420
Pt6 0.1845 0.5325 0.9580
Pt7 0.3155 0.0325 0.0420
Pt8 0.8155 0.4675 0.4580
Pt9 0.5467 0.6132 0.7500
Pt10 0.0467 0.8868 0.7500
Pt11 0.4533 0.3868 0.2500
Pt12 0.9533 0.1132 0.2500
Pt13 0.3165 0.1429 0.7500
Pt14 0.8165 0.3571 0.7500
Pt15 0.6835 0.8571 0.2500
Pt16 0.1835 0.6429 0.2500
```

Compound: Ho3Pt
Source: the Alexandria database
Functional: PBE
Structure: relaxed

Cell and atoms, written as CIF:
```
data_Ho3Pt
_cell_length_a 3.6561
_cell_length_b 5.2301
_cell_length_c 6.3446
_cell_angle_alpha 114.34
_cell_angle_beta 106.75
_cell_angle_gamma 90.00
_symmetry_space_group_name_H-M 'P 1'
_symmetry_Int_Tables_number 1
loop_
_symmetry_equiv_pos_as_xyz
'x,y,z'
loop_
_atom_site_label
_atom_site_fract_x
_atom_site_fract_y
_atom_site_fract_z
Ho1 0.3000 0.7166 0.6000
Ho2 0.5000 0.4165 0.0000
Ho3 0.7000 0.1165 0.4000
Pt1 0.0000 0.9171 0.0000
```

Compound: Ho3Pt5
Source: the Alexandria database
Functional: PBE
Structure: relaxed

Cell and atoms, written as CIF:
```
data_Ho3Pt5
_cell_length_a 5.7921
_cell_length_b 5.7921
_cell_length_c 9.6729
_cell_angle_alpha 90.00
_cell_angle_beta 90.00
_cell_angle_gamma 104.25
_symmetry_space_group_name_H-M 'P 1'
_symmetry_Int_Tables_number 1
loop_
_symmetry_equiv_pos_as_xyz
'x,y,z'
loop_
_atom_site_label
_atom_site_fract_x
_atom_site_fract_y
_atom_site_fract_z
Ho1 0.2035 0.7965 0.0000
Ho2 0.7965 0.2035 0.0000
Ho3 0.7965 0.2035 0.5000
Ho4 0.2035 0.7965 0.5000
Ho5 0.6155 0.6155 0.7500
Ho6 0.3845 0.3845 0.2500
Pt1 0.5093 0.0557 0.7500
Pt2 0.4907 0.9443 0.2500
Pt3 0.0557 0.5093 0.7500
Pt4 0.9443 0.4907 0.2500
Pt5 0.0203 0.0203 0.7500
Pt6 0.9797 0.9797 0.2500
Pt7 0.3147 0.3147 0.9534
Pt8 0.6853 0.6853 0.0466
Pt9 0.6853 0.6853 0.4534
Pt10 0.3147 0.3147 0.5466
```

Compound: Ho5Pt2
Source: the Alexandria database
Functional: PBE
Structure: relaxed

Cell and atoms, written as CIF:
```
data_Ho5Pt2
_cell_length_a 6.5604
_cell_length_b 7.0363
_cell_length_c 8.7610
_cell_angle_alpha 96.11
_cell_angle_beta 111.99
_cell_angle_gamma 90.00
_symmetry_space_group_name_H-M 'P 1'
_symmetry_Int_Tables_number 1
loop_
_symmetry_equiv_pos_as_xyz
'x,y,z'
loop_
_atom_site_label
_atom_site_fract_x
_atom_site_fract_y
_atom_site_fract_z
Ho1 0.2091 0.4264 0.1889
Ho2 0.0202 0.0736 0.8111
Ho3 0.2138 0.6892 0.5596
Ho4 0.6542 0.8108 0.4404
Ho5 0.7862 0.3108 0.4404
Ho6 0.3458 0.1892 0.5596
Ho7 0.9798 0.9264 0.1889
Ho8 0.7909 0.5736 0.8111
Ho9 0.5636 0.2500 0.0000
Ho10 0.4364 0.7500 0.0000
Pt1 0.1790 0.4297 0.7773
Pt2 0.4018 0.0703 0.2227
Pt3 0.8210 0.5703 0.2227
Pt4 0.5982 0.9297 0.7773
```

DFT formation energy / eV per atom: -0.308, 0.222, 0.049, 0.204, 1.181, -0.321, -0.729, -0.752, 0.447, -0.419, -0.535, -0.041, -0.677, -0.813, -1.194, -0.639, -1.204, -0.827
Total moment / μB/cell: 0.000, 0.050, 0.000, 0.001, 0.000, 0.000, 0.000, 0.000, 0.002, 0.005, 0.000, 0.001, 0.000, 0.000, 0.000, 0.000, 0.000, 0.000